First-principles (PBE-GGA) data for a relaxed Sr2NiH6Ir crystal, as listed in Alexandria. Values from VASP.

```
&SYSTEM
  ibrav = 0, nat = 10, ntyp = 4
/
ATOMIC_SPECIES
Sr 87.62 Sr.upf
Ni 58.69 Ni.upf
H 1.01 H.upf
Ir 192.22 Ir.upf
CELL_PARAMETERS angstrom
5.268 0.001 -0.001
0.001 5.267 -0.001
2.633 2.633 3.855
ATOMIC_POSITIONS angstrom
Sr 5.268 2.634 1.927
Sr 2.634 5.267 1.927
Ni 0.000 0.000 0.000
H 2.636 2.636 1.791
H 3.926 3.925 0.002
H 1.343 3.925 -0.001
H 3.925 1.343 -0.001
H 3.976 3.976 3.852
H 5.266 5.266 2.062
Ir 2.634 2.634 -0.001
```

Calculated values
Its space-group type is I4/mmm, No. 139. As for the energy: -0.1570 hartree per atom. Its total moment is 0.00 μB per cell.

---

First-principles (PBE-GGA) data for a relaxed TaNi2HIr crystal, as listed in Alexandria. Values from VASP.

```
&SYSTEM
  ibrav = 0, nat = 5, ntyp = 4
/
ATOMIC_SPECIES
Ni 58.69 Ni.upf
Ir 192.22 Ir.upf
H 1.01 H.upf
Ta 180.95 Ta.upf
CELL_PARAMETERS angstrom
-0.525 -3.433 1.612
2.819 0.735 2.484
-2.542 1.530 2.432
ATOMIC_POSITIONS angstrom
Ni 1.410 0.367 1.242
Ni -0.263 -1.717 0.806
Ir -1.271 0.765 1.216
H 0.000 0.000 0.000
Ta -0.124 -0.584 3.264
```

Calculated values
Its space-group type is P4/mmm, No. 123. The energy above the most stable polymorph in this dataset is 43.7 meV/atom. As for the energy: -0.2699 hartree per atom. Its total moment is 0.00 μB per cell.

---

First-principles (PBE-GGA) data for a relaxed TaNiHIr2 crystal, as listed in Alexandria. Values from VASP.

```
&SYSTEM
  ibrav = 0, nat = 5, ntyp = 4
/
ATOMIC_SPECIES
Ni 58.69 Ni.upf
Ir 192.22 Ir.upf
H 1.01 H.upf
Ta 180.95 Ta.upf
CELL_PARAMETERS angstrom
3.981 0.000 0.000
0.000 3.981 0.000
0.000 0.000 3.782
ATOMIC_POSITIONS angstrom
Ni 0.000 0.000 1.891
Ir 0.000 1.990 0.000
Ir 1.990 0.000 0.000
H 0.000 0.000 0.000
Ta 1.990 1.990 1.891
```

Calculated values
Its space-group type is P4/mmm, No. 123. As for the energy: -0.2969 hartree per atom. Its total moment is 0.00 μB per cell.

---

First-principles (PBE-GGA) data for a relaxed TaNi2HIr crystal, as listed in Alexandria. Values from VASP.

```
&SYSTEM
  ibrav = 0, nat = 5, ntyp = 4
/
ATOMIC_SPECIES
Ni 58.69 Ni.upf
Ir 192.22 Ir.upf
H 1.01 H.upf
Ta 180.95 Ta.upf
CELL_PARAMETERS angstrom
-2.534 -1.950 -1.943
1.650 -3.190 1.050
-2.366 -0.156 3.242
ATOMIC_POSITIONS angstrom
Ni 0.825 -1.595 0.525
Ni -1.267 -0.975 -0.971
Ir -1.625 -2.648 1.175
H 0.000 0.000 0.000
Ta -1.183 -0.078 1.621
```

Calculated values
Its space-group type is P4/mmm, No. 123. The energy above the most stable polymorph in this dataset is 0.0 meV/atom. As for the energy: -0.2716 hartree per atom. Its total moment is 0.00 μB per cell.

---

First-principles (PBE-GGA) data for a relaxed TbNiH8Ir2 crystal, as listed in Alexandria. Values from VASP.

```
&SYSTEM
  ibrav = 0, nat = 12, ntyp = 4
/
ATOMIC_SPECIES
Tb 158.93 Tb.upf
Ni 58.69 Ni.upf
H 1.01 H.upf
Ir 192.22 Ir.upf
CELL_PARAMETERS angstrom
-1.158 -4.444 0.073
2.160 -2.981 -2.746
4.051 -3.380 3.014
ATOMIC_POSITIONS angstrom
Tb 2.526 -5.403 0.170
Ni 0.000 0.000 0.000
H 2.016 -2.885 0.877
H 0.507 -4.238 -0.053
H 3.036 -7.921 -0.536
H 1.087 -6.675 -1.170
H 3.965 -4.131 1.510
H 2.465 -4.440 -1.963
H 2.587 -6.366 2.303
H 4.545 -6.568 0.393
Ir 0.913 -2.616 -0.282
Ir 4.139 -8.189 0.623
```

Calculated values
Its space-group type is R-3, No. 148. As for the energy: -0.1742 hartree per atom. Its total moment is 0.00 μB per cell.

---

First-principles (PBE-GGA) data for a relaxed Tc2NiHIr crystal, as listed in Alexandria. Values from VASP.

```
&SYSTEM
  ibrav = 0, nat = 5, ntyp = 4
/
ATOMIC_SPECIES
Ni 58.69 Ni.upf
Ir 192.22 Ir.upf
Tc 98.00 Tc.upf
H 1.01 H.upf
CELL_PARAMETERS angstrom
3.849 0.000 0.000
0.000 3.849 0.000
0.000 0.000 3.848
ATOMIC_POSITIONS angstrom
Ni 0.000 0.000 1.924
Ir 1.924 1.924 1.924
Tc 0.000 1.924 0.000
Tc 1.924 0.000 0.000
H 0.000 0.000 0.000
```

Calculated values
Its space-group type is P4/mmm, No. 123. As for the energy: -0.2822 hartree per atom. Its total moment is 0.00 μB per cell.

---

First-principles (PBE-GGA) data for a relaxed TcNi2HIr crystal, as listed in Alexandria. Values from VASP.

```
&SYSTEM
  ibrav = 0, nat = 5, ntyp = 4
/
ATOMIC_SPECIES
Ni 58.69 Ni.upf
Ir 192.22 Ir.upf
Tc 98.00 Tc.upf
H 1.01 H.upf
CELL_PARAMETERS angstrom
-3.684 -0.725 -0.092
0.424 -2.505 2.767
-0.598 2.717 2.551
ATOMIC_POSITIONS angstrom
Ni 0.212 -1.252 1.384
Ni -1.842 -0.363 -0.046
Ir -1.930 -0.257 2.613
Tc -0.299 1.358 1.275
H 0.000 0.000 0.000
```

Calculated values
Its space-group type is P4/mmm, No. 123. As for the energy: -0.2482 hartree per atom. Its total moment is 0.00 μB per cell.

---

First-principles (PBE-GGA) data for a relaxed ThNiH8Ir2 crystal, as listed in Alexandria. Values from VASP.

```
&SYSTEM
  ibrav = 0, nat = 12, ntyp = 4
/
ATOMIC_SPECIES
Th 232.04 Th.upf
Ni 58.69 Ni.upf
H 1.01 H.upf
Ir 192.22 Ir.upf
CELL_PARAMETERS angstrom
4.673 0.000 0.000
2.336 4.047 0.000
2.336 1.349 5.486
ATOMIC_POSITIONS angstrom
Th 4.673 2.698 2.743
Ni 0.000 0.000 0.000
H 2.336 1.349 2.551
H 4.035 1.233 0.933
H 7.009 4.047 2.935
H 6.260 2.878 0.933
H 3.085 2.518 4.553
H 3.723 3.983 0.933
H 5.623 1.413 4.553
H 5.311 4.163 4.553
Ir 2.336 1.349 0.913
Ir 7.009 4.047 4.573
```

Calculated values
Its space-group type is R-3, No. 148. As for the energy: -0.1823 hartree per atom. Its total moment is 0.00 μB per cell.

---

First-principles (PBE-GGA) data for a relaxed TiNiHIr2 crystal, as listed in Alexandria. Values from VASP.

```
&SYSTEM
  ibrav = 0, nat = 5, ntyp = 4
/
ATOMIC_SPECIES
Ni 58.69 Ni.upf
Ir 192.22 Ir.upf
H 1.01 H.upf
Ti 47.87 Ti.upf
CELL_PARAMETERS angstrom
-3.820 -0.687 0.030
0.687 -3.802 0.376
-0.036 0.371 3.823
ATOMIC_POSITIONS angstrom
Ni -1.585 -2.059 2.115
Ir 0.343 -1.901 0.188
Ir -1.910 -0.344 0.015
H 0.000 0.000 0.000
Ti -0.018 0.186 1.911
```

Calculated values
Its space-group type is P4/mmm, No. 123. The energy above the most stable polymorph in this dataset is 62.9 meV/atom. As for the energy: -0.2693 hartree per atom. Its total moment is 0.00 μB per cell.

---

First-principles (PBE-GGA) data for a relaxed TiNiHIr2 crystal, as listed in Alexandria. Values from VASP.

```
&SYSTEM
  ibrav = 0, nat = 5, ntyp = 4
/
ATOMIC_SPECIES
Ni 58.69 Ni.upf
Ir 192.22 Ir.upf
H 1.01 H.upf
Ti 47.87 Ti.upf
CELL_PARAMETERS angstrom
3.946 0.000 0.000
0.000 3.946 0.000
0.000 0.000 3.692
ATOMIC_POSITIONS angstrom
Ni 0.000 0.000 1.846
Ir 0.000 1.973 0.000
Ir 1.973 0.000 0.000
H 0.000 0.000 0.000
Ti 1.973 1.973 1.846
```

Calculated values
Its space-group type is P4/mmm, No. 123. The energy above the most stable polymorph in this dataset is 0.0 meV/atom. As for the energy: -0.2716 hartree per atom. Its total moment is 0.00 μB per cell.

---

First-principles (PBE-GGA) data for a relaxed TiNi2HIr crystal, as listed in Alexandria. Values from VASP.

```
&SYSTEM
  ibrav = 0, nat = 5, ntyp = 4
/
ATOMIC_SPECIES
Ni 58.69 Ni.upf
Ir 192.22 Ir.upf
H 1.01 H.upf
Ti 47.87 Ti.upf
CELL_PARAMETERS angstrom
-3.401 -1.011 -1.079
1.476 -2.480 -2.329
-0.091 -2.694 2.812
ATOMIC_POSITIONS angstrom
Ni 0.738 -1.240 -1.164
Ni -1.701 -0.505 -0.540
Ir -0.046 -1.347 1.406
H 0.000 0.000 0.000
Ti -1.008 -3.093 -0.298
```

Calculated values
Its space-group type is P4/mmm, No. 123. The energy above the most stable polymorph in this dataset is 4.7 meV/atom. As for the energy: -0.2485 hartree per atom. Its total moment is 0.00 μB per cell.

---

First-principles (PBE-GGA) data for a relaxed TiNi2HIr crystal, as listed in Alexandria. Values from VASP.

```
&SYSTEM
  ibrav = 0, nat = 5, ntyp = 4
/
ATOMIC_SPECIES
Ni 58.69 Ni.upf
Ir 192.22 Ir.upf
H 1.01 H.upf
Ti 47.87 Ti.upf
CELL_PARAMETERS angstrom
-1.715 0.238 3.209
-1.029 -3.486 -0.291
3.345 -1.143 1.873
ATOMIC_POSITIONS angstrom
Ni -0.514 -1.743 -0.146
Ni -0.858 0.119 1.604
Ir 0.300 -2.196 2.395
H 0.000 0.000 0.000
Ti 1.672 -0.572 0.936
```

Calculated values
Its space-group type is P4/mmm, No. 123. The energy above the most stable polymorph in this dataset is 0.0 meV/atom. As for the energy: -0.2486 hartree per atom. Its total moment is 0.00 μB per cell.